The following is a GGA-PBE calculation of YHgTe2 after structural relaxation, from Alexandria via LeMat-Bulk.

a b c (Å): 5.4312 5.4312 5.4312
angles (deg): 60.00 60.00 60.00
Fractional positions:
Y: 0.0000 0.0000 0.0000
Hg: 0.5000 0.5000 0.5000
Te: 0.2500 0.2500 0.2500
Te: 0.7500 0.7500 0.7500

## Properties
formation energy from raw total energies = -0.62 eV/atom
DOS at the Fermi energy = 0.470 states/eV per atom